Here is a geometry-optimized Mo2IF structure from Alexandria. Energies are from PBE+U. Values from VASP.

Quantum ESPRESSO input file:
```
&SYSTEM
  ibrav = 0, nat = 4, ntyp = 3
/
ATOMIC_SPECIES
Mo 95.94 Mo.upf
I 126.90 I.upf
F 19.00 F.upf
ATOMIC_POSITIONS crystal
Mo 0.250 0.250 0.250
Mo 0.750 0.750 0.750
I 0.000 0.000 0.000
F 0.500 0.500 0.500
CELL_PARAMETERS angstrom
0.000 3.650 3.650
3.650 0.000 3.650
3.650 3.650 0.000
```

Properties
Polymorph energy (0 for the lowest one)   0 meV per atom
Raw total energy   -4.052 eV per atom
ρ   5.8 Mg/m³